# 1
{"formula": "CrRe2Hg", "functional": "PBE-GGA", "state": "optimized geometry", "final_energy_ev_per_atom": -7.9706, "cell": [[0.0000, 3.1706, 3.1706], [3.1706, 0.0000, 3.1706], [3.1706, 3.1706, 0.0000]], "species": ["Cr", "Re", "Re", "Hg"], "frac_coords": [[0.0000, 0.0000, 0.0000], [0.2500, 0.2500, 0.2500], [0.5000, 0.5000, 0.5000], [0.7500, 0.7500, 0.7500]]}



# 2
{"formula": "BaTi3Mn", "functional": "PBE-GGA", "state": "optimized geometry", "e_above_lowest_polymorph_ev_per_fu": 0.00, "cell": [[4.7691, 0.0000, 0.0000], [0.0000, 4.7691, 0.0000], [0.0000, 0.0000, 4.7691]], "species": ["Ba", "Ti", "Ti", "Ti", "Mn"], "frac_coords": [[0.0000, 0.0000, 0.0000], [0.0000, 0.5000, 0.5000], [0.5000, 0.0000, 0.5000], [0.5000, 0.5000, 0.0000], [0.5000, 0.5000, 0.5000]]}



# 3
{"formula": "TlAs2Os", "functional": "PBE-GGA", "state": "optimized geometry", "e_above_lowest_polymorph_ev_per_fu": 0.22, "cell": [[1.5949, 0.9208, 9.3686], [-1.5949, 0.9208, 9.3686], [0.0000, -1.8416, 9.3686]], "species": ["Tl", "As", "As", "Os"], "frac_coords": [[0.0000, 0.0000, 0.0000], [0.2302, 0.2302, 0.2302], [0.7698, 0.7698, 0.7698], [0.5000, 0.5000, 0.5000]]}



# 4
{"formula": "RbTi2BiAs", "functional": "PBE-GGA", "state": "optimized geometry", "final_energy_ev_per_atom": -3.0091, "cell": [[4.7928, 0.0000, 0.0000], [0.0000, 4.7928, 0.0000], [0.0000, 0.0000, 5.9995]], "species": ["Rb", "Ti", "Ti", "Bi", "As"], "frac_coords": [[0.0000, 0.0000, 0.0000], [0.0000, 0.5000, 0.0000], [0.5000, 0.0000, 0.0000], [0.0000, 0.0000, 0.5000], [0.5000, 0.5000, 0.5000]]}



# 5
{"formula": "Tb2DyGa3Pt4", "functional": "PBE-GGA", "state": "optimized geometry", "final_energy_ev_per_atom": -5.6810, "cell": [[4.1716, 0.0000, 0.0000], [0.0000, 4.1716, 0.0000], [0.0000, 0.0000, 11.5598]], "species": ["Tb", "Tb", "Dy", "Ga", "Ga", "Ga", "Pt", "Pt", "Pt", "Pt"], "frac_coords": [[0.0000, 0.5000, 0.2263], [0.5000, 0.0000, 0.7737], [0.0000, 0.0000, 0.5000], [0.0000, 0.5000, 0.8733], [0.5000, 0.0000, 0.1267], [0.5000, 0.5000, 0.5000], [0.0000, 0.0000, 0.0000], [0.0000, 0.5000, 0.6597], [0.5000, 0.0000, 0.3403], [0.5000, 0.5000, 0.0000]]}



# 6
{"formula": "TlB2Pb", "functional": "PBE-GGA", "state": "optimized geometry", "e_above_lowest_polymorph_ev_per_fu": 0.00, "cell": [[-2.7307, 2.7307, 5.5819], [2.7307, -2.7307, 5.5819], [2.7307, 2.7307, -5.5819]], "species": ["Tl", "Tl", "B", "B", "B", "B", "Pb", "Pb"], "frac_coords": [[0.0000, 0.0000, 0.0000], [0.7500, 0.2500, 0.5000], [0.1249, 0.6250, 0.9999], [0.3750, 0.3749, 0.4999], [0.6251, 0.1250, 0.0001], [0.8750, 0.8751, 0.5001], [0.2500, 0.7500, 0.5000], [0.5000, 0.5000, 0.0000]]}



Results for volume: 15.9, 21.7, 20.6, 27.6, 20.1, 20.8 (in Å³/atom, following the order of the records).